A PBEsol-optimized structure of NdB2Rh2C, computed with SCAN.

E_form ... -0.70 eV per atom
Space group ... I4/mmm, No. 139
Volume ... 12.42 Å³ per atom

Unit cell a=5.791 b=5.791 c=5.791 alpha=141.56 beta=141.56 gamma=55.49
Atoms (fractional coordinates):
Nd 0.000 0.000 0.000
B 0.353 0.353 0.000
B 0.647 0.647 0.000
Rh 0.250 0.750 0.500
Rh 0.750 0.250 0.500
C 0.500 0.500 0.000

---

A PBEsol-optimized structure of YNiBC, computed with SCAN.

E_form ... -0.62 eV per atom
Space group ... P4/nmm, No. 129
Volume ... 11.73 Å³ per atom

Unit cell a=3.542 b=3.542 c=7.484 alpha=90.00 beta=90.00 gamma=90.00
Atoms (fractional coordinates):
Y 0.250 0.250 0.166
Y 0.750 0.750 0.834
Ni 0.250 0.750 0.500
Ni 0.750 0.250 0.500
B 0.250 0.250 0.644
B 0.750 0.750 0.356
C 0.250 0.250 0.844
C 0.750 0.750 0.156

---

A PBEsol-optimized structure of YNi2B2C, computed with SCAN.

E_form ... -0.58 eV per atom
Space group ... I4/mmm, No. 139
Volume ... 10.52 Å³ per atom

Unit cell a=5.721 b=5.721 c=5.721 alpha=144.40 beta=144.40 gamma=51.22
Atoms (fractional coordinates):
Y 0.000 0.000 0.000
Ni 0.250 0.750 0.500
Ni 0.750 0.250 0.500
B 0.355 0.355 0.000
B 0.645 0.645 0.000
C 0.500 0.500 0.000

---

A PBEsol-optimized structure of TiBC2O, computed with SCAN.

Raw formation energy ... 9.48 eV/f.u.
Space group ... P4/mmm, No. 123
Volume ... 9.61 Å³ per atom

Unit cell a=3.548 b=3.548 c=3.815 alpha=90.00 beta=90.00 gamma=90.00
Atoms (fractional coordinates):
Ti 0.000 0.000 0.000
B 0.500 0.500 0.000
C 0.000 0.500 0.500
C 0.500 0.000 0.500
O 0.000 0.000 0.500

---

A PBEsol-optimized structure of BOs2C, computed with SCAN.

E_form ... 1.00 eV per atom
Space group ... Fm-3m, No. 225
Volume ... 9.74 Å³ per atom

Unit cell a=3.805 b=3.805 c=3.805 alpha=60.00 beta=60.00 gamma=60.00
Atoms (fractional coordinates):
B 0.000 0.000 0.000
Os 0.250 0.250 0.250
Os 0.750 0.750 0.750
C 0.500 0.500 0.500

---

A PBEsol-optimized structure of BPC2, computed with SCAN.

E_form ... -0.16 eV per atom
Space group ... I-42d, No. 122
Volume ... 8.02 Å³ per atom

Unit cell a=4.909 b=4.909 c=4.909 alpha=131.95 beta=131.95 gamma=70.30
Atoms (fractional coordinates):
B 0.000 0.000 0.000
B 0.750 0.250 0.500
P 0.250 0.750 0.500
P 0.500 0.500 0.000
C 0.103 0.625 0.978
C 0.375 0.353 0.478
C 0.647 0.125 0.022
C 0.875 0.897 0.522

---

A PBEsol-optimized structure of BP3C, computed with SCAN.

E_form ... 2.04 eV per atom
Space group ... Pm-3m, No. 221
Volume ... 12.31 Å³ per atom

Unit cell a=3.949 b=3.949 c=3.949 alpha=90.00 beta=90.00 gamma=90.00
Atoms (fractional coordinates):
B 0.000 0.000 0.000
P 0.000 0.000 0.500
P 0.000 0.500 0.000
P 0.500 0.000 0.000
C 0.500 0.500 0.500

---

A PBEsol-optimized structure of BPC3, computed with SCAN.

E_form ... 2.66 eV per atom
Space group ... Pm-3m, No. 221
Volume ... 8.26 Å³ per atom

Unit cell a=3.456 b=3.456 c=3.456 alpha=90.00 beta=90.00 gamma=90.00
Atoms (fractional coordinates):
B 0.000 0.000 0.000
P 0.500 0.500 0.500
C 0.000 0.000 0.500
C 0.000 0.500 0.000
C 0.500 0.000 0.000

---

A PBEsol-optimized structure of ScBPC2, computed with SCAN.

E_form ... 1.11 eV per atom
Space group ... P4/mmm, No. 123
Volume ... 10.19 Å³ per atom

Unit cell a=3.709 b=3.709 c=3.702 alpha=90.00 beta=90.00 gamma=90.00
Atoms (fractional coordinates):
Sc 0.000 0.000 0.000
B 0.500 0.500 0.000
P 0.500 0.500 0.500
C 0.000 0.500 0.500
C 0.500 0.000 0.500

---

A PBEsol-optimized structure of BPbC2, computed with SCAN.

E_form ... 3.26 eV per atom
Space group ... Fm-3m, No. 225
Volume ... 11.91 Å³ per atom

Unit cell a=4.069 b=4.069 c=4.069 alpha=60.00 beta=60.00 gamma=60.00
Atoms (fractional coordinates):
B 0.000 0.000 0.000
Pb 0.500 0.500 0.500
C 0.250 0.250 0.250
C 0.750 0.750 0.750

---

A PBEsol-optimized structure of BPbC3, computed with SCAN.

E_form ... 4.41 eV per atom
Space group ... Pm-3m, No. 221
Volume ... 17.39 Å³ per atom

Unit cell a=4.430 b=4.430 c=4.430 alpha=90.00 beta=90.00 gamma=90.00
Atoms (fractional coordinates):
B 0.000 0.000 0.000
Pb 0.500 0.500 0.500
C 0.000 0.500 0.500
C 0.500 0.000 0.500
C 0.500 0.500 0.000

---

A PBEsol-optimized structure of BSb2PbC, computed with SCAN.

Raw formation energy ... 3.13 eV/f.u.
Space group ... P4/mmm, No. 123
Volume ... 20.81 Å³ per atom

Unit cell a=5.920 b=5.920 c=2.968 alpha=90.00 beta=90.00 gamma=90.00
Atoms (fractional coordinates):
B 0.000 0.000 0.000
Sb 0.000 0.500 0.500
Sb 0.500 0.000 0.500
Pb 0.500 0.500 0.000
C 0.000 0.000 0.500

---

A PBEsol-optimized structure of ThB2Pd2C, computed with SCAN.

E_form ... -0.56 eV per atom
Space group ... I4/mmm, No. 139
Volume ... 12.89 Å³ per atom

Unit cell a=5.986 b=5.986 c=5.986 alpha=142.95 beta=142.95 gamma=53.40
Atoms (fractional coordinates):
Th 0.000 0.000 0.000
B 0.361 0.361 0.000
B 0.639 0.639 0.000
Pd 0.250 0.750 0.500
Pd 0.750 0.250 0.500
C 0.500 0.500 0.000

---

A PBEsol-optimized structure of YB2Pd2C, computed with SCAN.

E_form ... -0.61 eV per atom
Space group ... I4/mmm, No. 139
Volume ... 12.39 Å³ per atom

Unit cell a=5.965 b=5.965 c=5.965 alpha=143.59 beta=143.59 gamma=52.45
Atoms (fractional coordinates):
Y 0.000 0.000 0.000
B 0.362 0.362 0.000
B 0.638 0.638 0.000
Pd 0.250 0.750 0.500
Pd 0.750 0.250 0.500
C 0.500 0.500 0.000

---

A PBEsol-optimized structure of PrBC, computed with SCAN.

E_form ... -0.46 eV per atom
Space group ... P2_12_12_1, No. 19
Volume ... 14.58 Å³ per atom

Unit cell a=8.429 b=8.465 c=12.262 alpha=90.00 beta=90.00 gamma=90.00
Atoms (fractional coordinates):
Pr 0.050 0.097 0.140
Pr 0.062 0.699 0.634
Pr 0.158 0.593 0.905
Pr 0.160 0.992 0.419
Pr 0.245 0.289 0.672
Pr 0.255 0.711 0.172
Pr 0.340 0.008 0.919
Pr 0.342 0.407 0.405
Pr 0.438 0.301 0.134
Pr 0.450 0.903 0.640
Pr 0.550 0.403 0.860
Pr 0.562 0.801 0.366
Pr 0.658 0.907 0.095
Pr 0.660 0.508 0.581
Pr 0.745 0.211 0.328
Pr 0.755 0.789 0.828
Pr 0.840 0.492 0.081
Pr 0.842 0.093 0.595
Pr 0.938 0.199 0.866
Pr 0.950 0.597 0.360
B 0.019 0.888 0.959
B 0.062 0.297 0.321
B 0.098 0.977 0.739
B 0.117 0.397 0.213
B 0.185 0.308 0.991
B 0.315 0.692 0.491
B 0.383 0.603 0.713
B 0.402 0.023 0.239
B 0.438 0.703 0.821
B 0.481 0.112 0.459
B 0.519 0.612 0.041
B 0.562 0.203 0.679
B 0.598 0.523 0.261
B 0.617 0.103 0.787
B 0.685 0.192 0.009
B 0.815 0.808 0.509
B 0.883 0.897 0.287
B 0.902 0.477 0.761
B 0.938 0.797 0.179
B 0.981 0.388 0.541
C 0.025 0.305 0.439
C 0.057 0.890 0.841
C 0.145 0.998 0.625
C 0.146 0.397 0.093
C 0.246 0.299 0.879
C 0.254 0.701 0.379
C 0.354 0.603 0.593
C 0.355 0.002 0.125
C 0.443 0.110 0.341
C 0.475 0.695 0.939
C 0.525 0.195 0.561
C 0.557 0.610 0.159
C 0.645 0.502 0.375
C 0.646 0.103 0.907
C 0.746 0.201 0.121
C 0.754 0.799 0.621
C 0.854 0.897 0.407
C 0.855 0.498 0.875
C 0.943 0.390 0.659
C 0.975 0.805 0.061

---

A PBEsol-optimized structure of ThB2Pt2C, computed with SCAN.

E_form ... -0.77 eV per atom
Space group ... I4/mmm, No. 139
Volume ... 13.05 Å³ per atom

Unit cell a=6.055 b=6.055 c=6.055 alpha=143.44 beta=143.44 gamma=52.67
Atoms (fractional coordinates):
Th 0.000 0.000 0.000
B 0.362 0.362 0.000
B 0.638 0.638 0.000
Pt 0.250 0.750 0.500
Pt 0.750 0.250 0.500
C 0.500 0.500 0.000

---

A PBEsol-optimized structure of Re2BC, computed with SCAN.

E_form ... 0.86 eV per atom
Space group ... I-42d, No. 122
Volume ... 12.66 Å³ per atom

Unit cell a=5.712 b=5.712 c=5.712 alpha=131.85 beta=131.85 gamma=70.46
Atoms (fractional coordinates):
Re 0.113 0.625 0.988
Re 0.375 0.363 0.488
Re 0.637 0.125 0.012
Re 0.875 0.887 0.512
B 0.250 0.750 0.500
B 0.500 0.500 0.000
C 0.000 0.000 0.000
C 0.750 0.250 0.500

---

A PBEsol-optimized structure of TbB2Rh2C, computed with SCAN.

E_form ... -0.72 eV per atom
Space group ... I4/mmm, No. 139
Volume ... 12.06 Å³ per atom

Unit cell a=5.781 b=5.781 c=5.781 alpha=142.10 beta=142.10 gamma=54.67
Atoms (fractional coordinates):
Tb 0.000 0.000 0.000
B 0.354 0.354 0.000
B 0.646 0.646 0.000
Rh 0.250 0.750 0.500
Rh 0.750 0.250 0.500
C 0.500 0.500 0.000

---

A PBEsol-optimized structure of BCS2, computed with SCAN.

Raw formation energy ... 4.89 eV/f.u.
Space group ... I-42d, No. 122
Volume ... 10.71 Å³ per atom

Unit cell a=4.906 b=4.906 c=4.906 alpha=118.14 beta=118.14 gamma=93.25
Atoms (fractional coordinates):
B 0.000 0.000 0.000
B 0.750 0.250 0.500
C 0.250 0.750 0.500
C 0.500 0.500 0.000
S 0.112 0.125 0.487
S 0.375 0.888 0.013
S 0.638 0.625 0.513
S 0.875 0.362 0.987

---

A PBEsol-optimized structure of BSb3C, computed with SCAN.

Raw formation energy ... 9.22 eV/f.u.
Space group ... Pm-3m, No. 221
Volume ... 20.14 Å³ per atom

Unit cell a=4.653 b=4.653 c=4.653 alpha=90.00 beta=90.00 gamma=90.00
Atoms (fractional coordinates):
B 0.000 0.000 0.000
Sb 0.000 0.500 0.500
Sb 0.500 0.000 0.500
Sb 0.500 0.500 0.000
C 0.500 0.500 0.500

---

A PBEsol-optimized structure of BSb2C, computed with SCAN.

Raw formation energy ... 8.10 eV/f.u.
Space group ... Fm-3m, No. 225
Volume ... 15.17 Å³ per atom

Unit cell a=4.410 b=4.410 c=4.410 alpha=60.00 beta=60.00 gamma=60.00
Atoms (fractional coordinates):
B 0.000 0.000 0.000
Sb 0.250 0.250 0.250
Sb 0.750 0.750 0.750
C 0.500 0.500 0.500

---

A PBEsol-optimized structure of TaBSb2C, computed with SCAN.

Raw formation energy ... 8.64 eV/f.u.
Space group ... P4/mmm, No. 123
Volume ... 22.92 Å³ per atom

Unit cell a=5.320 b=5.320 c=4.050 alpha=90.00 beta=90.00 gamma=90.00
Atoms (fractional coordinates):
Ta 0.000 0.000 0.000
B 0.500 0.500 0.500
Sb 0.000 0.500 0.000
Sb 0.500 0.000 0.000
C 0.000 0.000 0.500

---

A PBEsol-optimized structure of TiBSb2C, computed with SCAN.

Raw formation energy ... 7.91 eV/f.u.
Space group ... P4/mmm, No. 123
Volume ... 17.57 Å³ per atom

Unit cell a=4.564 b=4.564 c=4.219 alpha=90.00 beta=90.00 gamma=90.00
Atoms (fractional coordinates):
Ti 0.000 0.000 0.000
B 0.000 0.000 0.500
Sb 0.000 0.500 0.500
Sb 0.500 0.000 0.500
C 0.500 0.500 0.000